1.
This record from Alexandria describes a relaxed LiMo2Se crystal. The functional is PBE.

Lattice parameters (Å, degrees): 3.6801 3.6801 9.8872 79.27 79.27 90.00
With the nearest neighbours (Å) after each atom.
Atoms (fractional coordinates):
1 Mo 0.6210 0.1250 0.2500  4 Mo 2.58-2.62, 2 Li 2.71, 2 Se 2.72
2 Mo 0.1290 0.6250 0.2500  4 Mo 2.58-2.62, 2 Li 2.71, 2 Se 2.72
3 Mo 0.3750 0.3790 0.7500  4 Mo 2.58-2.62, 2 Li 2.71, 2 Se 2.72
4 Mo 0.8750 0.8710 0.7500  4 Mo 2.58-2.62, 2 Li 2.71, 2 Se 2.72
5 Se 0.0000 0.0000 0.0000  4 Li 2.60, 4 Mo 2.72
6 Se 0.7500 0.2500 0.5000  4 Li 2.60, 4 Mo 2.72
7 Li 0.5000 0.5000 0.0000  4 Se 2.60, 4 Mo 2.71
8 Li 0.2500 0.7500 0.5000  4 Se 2.60, 4 Mo 2.71

Computed properties:
Its crystal system is tetragonal.

2.
This record from Alexandria describes a relaxed Zr2Al2Ni crystal. The functional is PBE.

Lattice parameters (Å, degrees): 4.3472 4.3472 6.1858 90.00 90.00 120.00
With the nearest neighbours (Å) after each atom.
Atoms (fractional coordinates):
1 Zr 0.3333 0.6667 0.1524  3 Ni 2.68, 4 Al 2.85-2.90
2 Zr 0.6667 0.3333 0.8476  3 Ni 2.68, 4 Al 2.85-2.90
3 Al 0.6667 0.3333 0.3861  4 Zr 2.85-2.90, 3 Al 2.88
4 Al 0.3333 0.6667 0.6139  4 Zr 2.85-2.90, 3 Al 2.88
5 Ni 0.0000 0.0000 0.0000  6 Zr 2.68

Computed properties:
Its crystal system is trigonal. The value obtained for the distance to the lowest polymorph of the same formula is 2.38 eV per formula unit. The formation enthalpy at 0 K comes out at -23 meV per atom.

3.
This record from Alexandria describes a relaxed AgAs4Cl crystal. The functional is PBE.

Lattice parameters (Å, degrees): 5.8968 5.8968 5.8968 60.00 60.00 60.00
With the nearest neighbours (Å) after each atom.
Atoms (fractional coordinates):
1 Ag 0.0000 0.0000 0.0000  12 As 3.52, 4 Cl 3.61
2 As 0.8163 0.3946 0.3946  3 As 2.49
3 As 0.3946 0.3946 0.8163  3 As 2.49
4 As 0.3946 0.8163 0.3946  3 As 2.49
5 As 0.3946 0.3946 0.3946  3 As 2.49
6 Cl 0.7500 0.7500 0.7500  12 As 3.42, 4 Ag 3.61

Computed properties:
Its crystal system is cubic.

4.
This record from Alexandria describes a relaxed CaY4Te5 crystal. The functional is PBE.

Lattice parameters (Å, degrees): 6.2062 7.5993 7.5993 80.40 65.90 65.90
With the nearest neighbours (Å) after each atom.
Atoms (fractional coordinates):
1 Ca 0.0013 0.0000 0.0000  6 Te 3.10-3.11
2 Y 0.3993 0.4012 0.8020  6 Te 3.09-3.11
3 Y 0.8005 0.8020 0.5988  6 Te 3.09-3.11
4 Y 0.2014 0.1980 0.4012  6 Te 3.09-3.11
5 Y 0.6026 0.5988 0.1980  6 Te 3.09-3.11
6 Te 0.9020 0.4004 0.7975  5 Y 3.09-3.11, 1 Ca 3.11
7 Te 0.3024 0.7975 0.5996  5 Y 3.09-3.11, 1 Ca 3.11
8 Te 0.6996 0.2025 0.4004  5 Y 3.09-3.11, 1 Ca 3.11
9 Te 0.0999 0.5996 0.2025  5 Y 3.09-3.11, 1 Ca 3.11
10 Te 0.5012 0.0000 0.0000  2 Ca 3.10, 4 Y 3.10

Computed properties:
Its crystal system is tetragonal.

5.
This record from Alexandria describes a relaxed Ac2Ge3PPd4 crystal. The functional is PBE.

Lattice parameters (Å, degrees): 4.5122 4.5122 10.0108 90.00 90.00 90.00
With the nearest neighbours (Å) after each atom.
Atoms (fractional coordinates):
1 Ac 0.5000 0.0000 0.2577  6 Ge 3.31-3.45, 2 P 3.31, 9 Pd 3.43-3.58
2 Ac 0.0000 0.5000 0.7423  6 Ge 3.31-3.45, 2 P 3.31, 9 Pd 3.43-3.58
3 Ge 0.0000 0.0000 0.5000  4 Pd 2.54
4 Ge 0.5000 0.0000 0.8737  5 Pd 2.58-2.59
5 Ge 0.0000 0.5000 0.1263  5 Pd 2.58-2.59
6 P 0.5000 0.5000 0.5000  4 Pd 2.54
7 Pd 0.5000 0.5000 0.0000  4 Ge 2.59
8 Pd 0.0000 0.0000 0.0000  4 Ge 2.59
9 Pd 0.5000 0.0000 0.6157  2 P 2.54, 3 Ge 2.54-2.58
10 Pd 0.0000 0.5000 0.3843  2 P 2.54, 3 Ge 2.54-2.58

Computed properties:
Its crystal system is tetragonal. The formation enthalpy at 0 K comes out at -841 meV per atom.

6.
This record from Alexandria describes a relaxed TbSc4 crystal. The functional is PBE.

Lattice parameters (Å, degrees): 5.2140 5.2140 5.2140 90.00 90.00 90.00
With the nearest neighbours (Å) after each atom.
Atoms (fractional coordinates):
1 Sc 0.0000 0.0000 0.0000  12 Sc 3.69
2 Sc 0.5000 0.0000 0.5000  2 Tb 2.61
3 Sc 0.0000 0.5000 0.5000  2 Tb 2.61
4 Sc 0.5000 0.5000 0.0000  2 Tb 2.61
5 Tb 0.5000 0.5000 0.5000  6 Sc 2.61

Computed properties:
Its crystal system is cubic. The value obtained for the distance to the lowest polymorph of the same formula is 3.95 eV per formula unit. The formation enthalpy at 0 K comes out at 846 meV per atom.

7.
This record from Alexandria describes a relaxed MgScHg2 crystal. The functional is PBE.

Lattice parameters (Å, degrees): 5.5680 5.5680 4.9748 75.71 75.71 36.55
With the nearest neighbours (Å) after each atom.
Atoms (fractional coordinates):
1 Hg 0.0004 0.0004 0.9465  3 Sc 3.01-3.02, 4 Mg 3.03-3.05, 2 Hg 3.27
2 Hg 0.2521 0.2521 0.3062  3 Mg 2.94-3.06, 4 Sc 3.00-3.08, 2 Hg 3.27
3 Mg 0.5060 0.5060 0.4451  7 Hg 2.94-3.06
4 Sc 0.7415 0.7415 0.8022  7 Hg 3.00-3.08

Computed properties:
Its crystal system is monoclinic. The formation enthalpy at 0 K comes out at -249 meV per atom.

8.
This record from Alexandria describes a relaxed ScRh2Se crystal. The functional is PBE.

Lattice parameters (Å, degrees): 4.5039 4.5039 4.5039 60.00 60.00 60.00
With the nearest neighbours (Å) after each atom.
Atoms (fractional coordinates):
1 Sc 0.0000 0.0000 0.0000  8 Rh 2.76
2 Rh 0.2500 0.2500 0.2500  4 Se 2.76, 4 Sc 2.76
3 Rh 0.7500 0.7500 0.7500  4 Sc 2.76, 4 Se 2.76
4 Se 0.5000 0.5000 0.5000  8 Rh 2.76

Computed properties:
Its crystal system is cubic. The value obtained for the distance to the lowest polymorph of the same formula is 0.66 eV per formula unit.

9.
This record from Alexandria describes a relaxed CrIr3W crystal. The functional is PBE.

Lattice parameters (Å, degrees): 4.2132 5.3920 6.9350 90.00 90.00 90.00
With the nearest neighbours (Å) after each atom.
Atoms (fractional coordinates):
1 Cr 0.7500 0.7500 0.4432  7 Ir 2.51-2.77
2 Cr 0.2500 0.2500 0.5568  7 Ir 2.51-2.77
3 Ir 0.7500 0.7500 0.0749  1 Cr 2.55, 4 W 2.71-2.78, 6 Ir 2.72-2.77
4 Ir 0.2500 0.2500 0.9251  1 Cr 2.55, 4 W 2.71-2.78, 6 Ir 2.72-2.77
5 Ir 0.7500 0.0141 0.7415  3 Cr 2.51-2.77, 4 Ir 2.54-2.77, 2 W 2.62
6 Ir 0.7500 0.4859 0.7415  3 Cr 2.51-2.77, 4 Ir 2.54-2.77, 2 W 2.62
7 Ir 0.2500 0.9859 0.2585  3 Cr 2.51-2.77, 4 Ir 2.54-2.77, 2 W 2.62
8 Ir 0.2500 0.5141 0.2585  3 Cr 2.51-2.77, 4 Ir 2.54-2.77, 2 W 2.62
9 W 0.7500 0.2500 0.1698  8 Ir 2.62-2.78
10 W 0.2500 0.7500 0.8302  8 Ir 2.62-2.78

Computed properties:
Its crystal system is orthorhombic. The value obtained for the distance to the lowest polymorph of the same formula is 1.67 eV per formula unit. The formation enthalpy at 0 K comes out at 146 meV per atom.

10.
This record from Alexandria describes a relaxed Tb7Pm12Ho crystal. The functional is PBE.

Lattice parameters (Å, degrees): 8.8149 8.8149 8.8149 87.49 87.49 87.49
With the nearest neighbours (Å) after each atom.
Atoms (fractional coordinates):
1 Tb 0.8511 0.6079 0.9290  3 Tb 3.42-3.54, 7 Pm 3.59-3.81
2 Tb 0.3921 0.0710 0.1489  3 Tb 3.42-3.54, 7 Pm 3.59-3.81
3 Tb 0.0710 0.1489 0.3921  3 Tb 3.42-3.54, 7 Pm 3.59-3.81
4 Tb 0.5000 0.5000 0.5000  6 Pm 3.32
5 Tb 0.9290 0.8511 0.6079  3 Tb 3.42-3.54, 7 Pm 3.59-3.81
6 Tb 0.6079 0.9290 0.8511  3 Tb 3.42-3.54, 7 Pm 3.59-3.81
7 Tb 0.1489 0.3921 0.0710  3 Tb 3.42-3.54, 7 Pm 3.59-3.81
8 Pm 0.8510 0.2554 0.7266  3 Pm 3.24-3.42, 1 Ho 3.49, 1 Tb 3.59
9 Pm 0.7446 0.2734 0.1490  3 Pm 3.24-3.42, 1 Ho 3.49, 1 Tb 3.59
10 Pm 0.6144 0.1369 0.4912  4 Pm 3.21-3.42, 1 Tb 3.32
11 Pm 0.8631 0.5088 0.3856  4 Pm 3.21-3.42, 1 Tb 3.32
12 Pm 0.2734 0.1490 0.7446  3 Pm 3.24-3.42, 1 Ho 3.49, 1 Tb 3.59
13 Pm 0.5088 0.3856 0.8631  4 Pm 3.21-3.42, 1 Tb 3.32
14 Pm 0.4912 0.6144 0.1369  4 Pm 3.21-3.42, 1 Tb 3.32
15 Pm 0.7266 0.8510 0.2554  3 Pm 3.24-3.42, 1 Ho 3.49, 1 Tb 3.59
16 Pm 0.1369 0.4912 0.6144  4 Pm 3.21-3.42, 1 Tb 3.32
17 Pm 0.3856 0.8631 0.5088  4 Pm 3.21-3.42, 1 Tb 3.32
18 Pm 0.2554 0.7266 0.8510  3 Pm 3.24-3.42, 1 Ho 3.49, 1 Tb 3.59
19 Pm 0.1490 0.7446 0.2734  3 Pm 3.24-3.42, 1 Ho 3.49, 1 Tb 3.59
20 Ho 0.0000 0.0000 0.0000  6 Pm 3.49, 6 Tb 3.84

Computed properties:
Its crystal system is trigonal. The value obtained for the distance to the lowest polymorph of the same formula is 0.00 eV per formula unit. The formation enthalpy at 0 K comes out at 231 meV per atom.

11.
This record from Alexandria describes a relaxed Zr2TaTc crystal. The functional is PBE.

Lattice parameters (Å, degrees): 3.3726 4.7630 4.7630 90.00 90.00 90.00
With the nearest neighbours (Å) after each atom.
Atoms (fractional coordinates):
1 Ta 0.5000 0.5000 0.0000  8 Zr 2.92
2 Tc 0.5000 0.0000 0.5000  8 Zr 2.92
3 Zr 0.0000 0.0000 0.0000  4 Ta 2.92, 4 Tc 2.92
4 Zr 0.0000 0.5000 0.5000  4 Tc 2.92, 4 Ta 2.92

Computed properties:
Its crystal system is tetragonal. The value obtained for the distance to the lowest polymorph of the same formula is 0.68 eV per formula unit. The formation enthalpy at 0 K comes out at -21 meV per atom.

12.
This record from Alexandria describes a relaxed BaZn crystal. The functional is PBE.

Lattice parameters (Å, degrees): 12.3304 12.3304 4.6089 90.00 90.00 90.00
With the nearest neighbours (Å) after each atom.
Atoms (fractional coordinates):
1 Ba 0.6708 0.6708 0.5000  6 Zn 3.48-3.51
2 Ba 0.6708 0.3292 0.5000  6 Zn 3.48-3.51
3 Ba 0.3292 0.6708 0.5000  6 Zn 3.48-3.51
4 Ba 0.3292 0.3292 0.5000  6 Zn 3.48-3.51
5 Ba 0.3037 0.0000 0.0000  6 Zn 3.44-3.58
6 Ba 0.6963 0.0000 0.0000  6 Zn 3.44-3.58
7 Ba 0.0000 0.6963 0.0000  6 Zn 3.44-3.58
8 Ba 0.0000 0.3037 0.0000  6 Zn 3.44-3.58
9 Zn 0.8955 0.5000 0.5000  3 Zn 2.58
10 Zn 0.1045 0.5000 0.5000  3 Zn 2.58
11 Zn 0.5000 0.1045 0.5000  3 Zn 2.58
12 Zn 0.5000 0.8955 0.5000  3 Zn 2.58
13 Zn 0.8013 0.5000 0.0000  2 Zn 2.58
14 Zn 0.1987 0.5000 0.0000  2 Zn 2.58
15 Zn 0.5000 0.1987 0.0000  2 Zn 2.58
16 Zn 0.5000 0.8013 0.0000  2 Zn 2.58

Computed properties:
Its crystal system is tetragonal. The formation enthalpy at 0 K comes out at -98 meV per atom.

Number 1: VASP energy -6.543 eV per atom. Number 2: VASP energy -6.095 eV per atom. Number 3: VASP energy -3.683 eV per atom. Number 4: VASP energy -5.725 eV per atom. Number 5: VASP energy -5.666 eV per atom. Number 6: VASP energy -5.145 eV per atom. Number 7: VASP energy -2.382 eV per atom. Number 8: VASP energy -6.607 eV per atom. Number 9: VASP energy -9.686 eV per atom. Number 10: VASP energy -4.469 eV per atom. Number 11: VASP energy -9.850 eV per atom. Number 12: VASP energy -1.697 eV per atom.